No. 1
Material: Tl12Te3Pd5
Method: DFT, PBE-GGA
State: optimized geometry

```
Tl12Te3Pd5
1.0
-8.700 8.700 8.700
8.700 -8.700 8.700
8.700 8.700 -8.700
Tl Te Pd
48 12 20
Direct
0.030 0.205 0.114 Tl
0.030 0.325 0.916 Tl
0.084 0.614 0.409 Tl
0.084 0.970 0.675 Tl
0.091 0.705 0.675 Tl
0.091 0.886 0.416 Tl
0.114 0.030 0.205 Tl
0.114 0.584 0.909 Tl
0.175 0.205 0.591 Tl
0.175 0.470 0.584 Tl
0.205 0.114 0.030 Tl
0.205 0.591 0.175 Tl
0.295 0.325 0.909 Tl
0.295 0.470 0.386 Tl
0.325 0.909 0.295 Tl
0.325 0.916 0.030 Tl
0.386 0.295 0.470 Tl
0.386 0.591 0.916 Tl
0.409 0.084 0.614 Tl
0.409 0.825 0.795 Tl
0.416 0.091 0.886 Tl
0.416 0.825 0.530 Tl
0.470 0.386 0.295 Tl
0.470 0.584 0.175 Tl
0.530 0.416 0.825 Tl
0.530 0.614 0.705 Tl
0.584 0.175 0.470 Tl
0.584 0.909 0.114 Tl
0.591 0.175 0.205 Tl
0.591 0.916 0.386 Tl
0.614 0.409 0.084 Tl
0.614 0.705 0.530 Tl
0.675 0.084 0.970 Tl
0.675 0.091 0.705 Tl
0.705 0.530 0.614 Tl
0.705 0.675 0.091 Tl
0.795 0.409 0.825 Tl
0.795 0.886 0.970 Tl
0.825 0.530 0.416 Tl
0.825 0.795 0.409 Tl
0.886 0.416 0.091 Tl
0.886 0.970 0.795 Tl
0.909 0.114 0.584 Tl
0.909 0.295 0.325 Tl
0.916 0.030 0.325 Tl
0.916 0.386 0.591 Tl
0.970 0.675 0.084 Tl
0.970 0.795 0.886 Tl
0.125 0.250 0.375 Te
0.125 0.375 0.750 Te
0.250 0.375 0.125 Te
0.250 0.875 0.625 Te
0.375 0.125 0.250 Te
0.375 0.750 0.125 Te
0.625 0.250 0.875 Te
0.625 0.875 0.750 Te
0.750 0.125 0.375 Te
0.750 0.625 0.875 Te
0.875 0.625 0.250 Te
0.875 0.750 0.625 Te
0.000 0.000 0.000 Pd
0.000 0.000 0.500 Pd
0.000 0.500 0.000 Pd
0.000 0.500 0.500 Pd
0.125 0.750 0.875 Pd
0.125 0.875 0.250 Pd
0.250 0.125 0.875 Pd
0.250 0.625 0.375 Pd
0.375 0.250 0.625 Pd
0.375 0.625 0.750 Pd
0.500 0.000 0.000 Pd
0.500 0.000 0.500 Pd
0.500 0.500 0.000 Pd
0.500 0.500 0.500 Pd
0.625 0.375 0.250 Pd
0.625 0.750 0.375 Pd
0.750 0.375 0.625 Pd
0.750 0.875 0.125 Pd
0.875 0.125 0.750 Pd
0.875 0.250 0.125 Pd
```

Summary:
The raw formation energy is -0.050 eV per atom. As for the space-group type: No. 230. Its uncorrected energy is -3.24 eV/atom. The calculation puts the magnetization at 0.00 μB/cell.

---

No. 2
Material: TlTePd4
Method: DFT, PBE-GGA
State: optimized geometry

```
TlTePd4
1.0
4.883 0.000 0.000
-0.001 5.396 0.000
-2.423 -2.674 8.336
Tl Te Pd
2 2 8
Direct
0.250 0.203 0.000 Tl
0.750 0.797 0.000 Tl
0.000 0.500 0.500 Te
0.500 0.000 0.500 Te
0.084 0.008 0.668 Pd
0.162 0.576 0.824 Pd
0.338 0.753 0.175 Pd
0.416 0.341 0.333 Pd
0.584 0.659 0.667 Pd
0.662 0.247 0.825 Pd
0.838 0.424 0.176 Pd
0.916 0.992 0.332 Pd
```

Summary:
The raw formation energy is -0.216 eV per atom. The relative energy among the computed polymorphs is 0.000 eV per atom. As for the space-group type: No. 2. Its uncorrected energy is -4.60 eV/atom. The calculation puts the magnetization at 0.00 μB/cell.

---

No. 3
Material: TlTe2Pd8
Method: DFT, PBE-GGA
State: optimized geometry

```
TlTe2Pd8
1.0
7.628 -2.083 0.000
7.628 2.083 0.000
-2.109 0.000 6.102
Tl Te Pd
1 2 8
Direct
0.000 0.000 0.000 Tl
0.304 0.304 0.339 Te
0.696 0.696 0.661 Te
0.088 0.088 0.458 Pd
0.180 0.180 0.929 Pd
0.356 0.356 0.795 Pd
0.462 0.462 0.263 Pd
0.538 0.538 0.737 Pd
0.644 0.644 0.205 Pd
0.820 0.820 0.071 Pd
0.912 0.912 0.542 Pd
```

Summary:
The raw formation energy is -0.262 eV per atom. The relative energy among the computed polymorphs is 0.000 eV per atom. As for the space-group type: No. 12. Its uncorrected energy is -4.83 eV/atom. The calculation puts the magnetization at 0.00 μB/cell.

---

No. 4
Material: Tl3Te2Pd4
Method: DFT, PBE-GGA
State: optimized geometry

```
Tl3Te2Pd4
1.0
6.720 -4.380 0.000
6.720 4.380 0.000
-2.177 0.000 7.206
Tl Te Pd
6 4 8
Direct
0.043 0.957 0.750 Tl
0.287 0.581 0.030 Tl
0.419 0.713 0.470 Tl
0.581 0.287 0.530 Tl
0.713 0.419 0.970 Tl
0.957 0.043 0.250 Tl
0.034 0.368 0.673 Te
0.368 0.034 0.173 Te
0.632 0.966 0.827 Te
0.966 0.632 0.327 Te
0.107 0.331 0.050 Pd
0.234 0.553 0.633 Pd
0.331 0.107 0.550 Pd
0.447 0.766 0.867 Pd
0.553 0.234 0.133 Pd
0.669 0.893 0.450 Pd
0.766 0.447 0.367 Pd
0.893 0.669 0.950 Pd
```

Summary:
The raw formation energy is -0.196 eV per atom. As for the space-group type: No. 15. Its uncorrected energy is -3.99 eV/atom. The calculation puts the magnetization at 0.00 μB/cell.

---

No. 5
Material: Tl2Te2Pd3
Method: DFT, PBE-GGA
State: optimized geometry

```
Tl2Te2Pd3
1.0
6.990 0.000 0.000
0.000 7.338 0.000
-2.548 0.000 6.601
Tl Te Pd
4 4 6
Direct
0.148 0.155 0.396 Tl
0.148 0.345 0.896 Tl
0.852 0.655 0.104 Tl
0.852 0.845 0.604 Tl
0.351 0.677 0.643 Te
0.351 0.823 0.143 Te
0.649 0.177 0.857 Te
0.649 0.323 0.357 Te
0.000 0.000 0.000 Pd
0.000 0.500 0.500 Pd
0.293 0.005 0.790 Pd
0.293 0.495 0.290 Pd
0.707 0.505 0.710 Pd
0.707 0.995 0.210 Pd
```

Summary:
The raw formation energy is -0.286 eV per atom. The relative energy among the computed polymorphs is 0.008 eV per atom. As for the space-group type: No. 14. Its uncorrected energy is -4.09 eV/atom. The calculation puts the magnetization at 0.00 μB/cell.

---

No. 6
Material: TlTe4Pd2
Method: DFT, PBE-GGA
State: optimized geometry

```
TlTe4Pd2
1.0
2.060 1.189 12.702
-2.060 1.189 12.702
0.000 -2.378 12.702
Tl Te Pd
1 4 2
Direct
0.000 0.000 0.000 Tl
0.136 0.136 0.136 Te
0.270 0.270 0.270 Te
0.730 0.730 0.730 Te
0.864 0.864 0.864 Te
0.432 0.432 0.432 Pd
0.568 0.568 0.568 Pd
```

Summary:
The raw formation energy is -0.303 eV per atom. The relative energy among the computed polymorphs is 0.000 eV per atom. As for the space-group type: No. 166. Its uncorrected energy is -3.92 eV/atom. The calculation puts the magnetization at 0.00 μB/cell.

---

No. 7
Material: Tl2TePd8
Method: DFT, PBE-GGA
State: optimized geometry

```
Tl2TePd8
1.0
7.663 -2.376 0.000
7.663 2.376 0.000
-2.250 0.000 5.433
Tl Te Pd
2 1 8
Direct
0.175 0.175 0.175 Tl
0.825 0.825 0.825 Tl
0.500 0.500 0.500 Te
0.000 0.000 0.256 Pd
0.000 0.000 0.744 Pd
0.179 0.179 0.679 Pd
0.350 0.350 0.606 Pd
0.351 0.351 0.094 Pd
0.649 0.649 0.906 Pd
0.650 0.650 0.394 Pd
0.821 0.821 0.321 Pd
```

Summary:
The raw formation energy is -0.203 eV per atom. As for the space-group type: No. 12. Its uncorrected energy is -4.69 eV/atom. The calculation puts the magnetization at 0.00 μB/cell.

---

No. 8
Material: TlTe3Pd3
Method: DFT, PBE-GGA
State: optimized geometry

```
TlTe3Pd3
1.0
4.160 2.402 5.749
-4.160 2.402 5.749
0.000 -4.803 5.749
Tl Te Pd
2 6 6
Direct
0.166 0.166 0.166 Tl
0.834 0.834 0.834 Tl
0.105 0.712 0.400 Te
0.288 0.600 0.895 Te
0.400 0.105 0.712 Te
0.600 0.895 0.288 Te
0.712 0.400 0.105 Te
0.895 0.288 0.600 Te
0.061 0.427 0.774 Pd
0.226 0.939 0.573 Pd
0.427 0.774 0.061 Pd
0.573 0.226 0.939 Pd
0.774 0.061 0.427 Pd
0.939 0.573 0.226 Pd
```

Summary:
The raw formation energy is -0.173 eV per atom. The relative energy among the computed polymorphs is 0.024 eV per atom. As for the space-group type: No. 148. Its uncorrected energy is -4.08 eV/atom. The calculation puts the magnetization at 0.00 μB/cell.

---

No. 9
Material: TlTe2Pd9
Method: DFT, PBE-GGA
State: optimized geometry

```
TlTe2Pd9
1.0
4.105 0.000 0.000
0.000 4.105 0.000
0.000 0.000 12.155
Tl Te Pd
1 2 9
Direct
0.000 0.000 0.000 Tl
0.000 0.000 0.330 Te
0.000 0.000 0.670 Te
0.000 0.500 0.169 Pd
0.000 0.500 0.500 Pd
0.000 0.500 0.831 Pd
0.500 0.000 0.169 Pd
0.500 0.000 0.500 Pd
0.500 0.000 0.831 Pd
0.500 0.500 0.000 Pd
0.500 0.500 0.338 Pd
0.500 0.500 0.662 Pd
```

Summary:
The raw formation energy is -0.194 eV per atom. As for the space-group type: No. 123. Its uncorrected energy is -4.81 eV/atom. The calculation puts the magnetization at 0.00 μB/cell.

---

No. 10
Material: TlTePd6
Method: DFT, PBE-GGA
State: optimized geometry

```
TlTePd6
1.0
5.014 0.000 0.000
-0.304 5.323 0.000
-1.015 -0.064 5.336
Tl Te Pd
1 1 6
Direct
0.000 0.000 0.000 Tl
0.500 0.500 0.500 Te
0.021 0.480 0.755 Pd
0.256 0.918 0.560 Pd
0.475 0.747 0.069 Pd
0.525 0.253 0.931 Pd
0.744 0.082 0.440 Pd
0.979 0.520 0.245 Pd
```

Summary:
The raw formation energy is -0.145 eV per atom. The relative energy among the computed polymorphs is 0.066 eV per atom. As for the space-group type: No. 2. Its uncorrected energy is -4.73 eV/atom. The calculation puts the magnetization at 0.00 μB/cell.

---

No. 11
Material: TlTe3Pd
Method: DFT, PBE-GGA
State: optimized geometry

```
TlTe3Pd
1.0
7.696 0.000 0.000
0.000 5.728 0.000
-3.838 0.000 6.692
Tl Te Pd
2 6 2
Direct
0.167 0.250 0.334 Tl
0.833 0.750 0.666 Tl
0.151 0.250 0.825 Te
0.326 0.750 0.175 Te
0.326 0.750 0.652 Te
0.674 0.250 0.348 Te
0.674 0.250 0.825 Te
0.849 0.750 0.175 Te
0.500 0.000 0.000 Pd
0.500 0.500 0.000 Pd
```

Summary:
The raw formation energy is -0.099 eV per atom. The relative energy among the computed polymorphs is 0.000 eV per atom. As for the space-group type: No. 11. Its uncorrected energy is -3.50 eV/atom. The calculation puts the magnetization at 0.00 μB/cell.

---

No. 12
Material: TlTe2Pd8
Method: DFT, PBE-GGA
State: optimized geometry

```
TlTe2Pd8
1.0
3.770 -6.610 0.000
3.770 6.610 0.000
-2.634 0.000 3.950
Tl Te Pd
1 2 8
Direct
0.000 0.000 0.000 Tl
0.298 0.618 0.936 Te
0.618 0.298 0.936 Te
0.055 0.452 0.237 Pd
0.152 0.907 0.521 Pd
0.415 0.415 0.557 Pd
0.452 0.055 0.237 Pd
0.554 0.893 0.714 Pd
0.669 0.669 0.293 Pd
0.893 0.554 0.714 Pd
0.907 0.152 0.521 Pd
```

Summary:
The raw formation energy is -0.245 eV per atom. The relative energy among the computed polymorphs is 0.018 eV per atom. As for the space-group type: No. 8. Its uncorrected energy is -4.81 eV/atom. The calculation puts the magnetization at 0.00 μB/cell.

---

No. 13
Material: TlTe3Pd
Method: DFT, PBE-GGA
State: optimized geometry

```
TlTe3Pd
1.0
5.731 0.000 0.000
0.000 5.731 0.000
0.000 0.000 5.731
Tl Te Pd
1 3 1
Direct
0.000 0.000 0.000 Tl
0.000 0.000 0.500 Te
0.000 0.500 0.000 Te
0.500 0.000 0.000 Te
0.500 0.500 0.500 Pd
```

Summary:
The raw formation energy is 1.002 eV per atom. The relative energy among the computed polymorphs is 1.101 eV per atom. As for the space-group type: No. 221. Its uncorrected energy is -2.39 eV/atom. The calculation puts the magnetization at 0.00 μB/cell.

---

No. 14
Material: TlTePd3
Method: DFT, PBE-GGA
State: optimized geometry

```
TlTePd3
1.0
7.722 0.000 0.000
0.000 5.578 0.000
-4.323 0.000 9.134
Tl Te Pd
4 4 12
Direct
0.172 0.241 0.081 Tl
0.172 0.259 0.581 Tl
0.828 0.741 0.419 Tl
0.828 0.759 0.919 Tl
0.342 0.665 0.327 Te
0.342 0.835 0.827 Te
0.658 0.165 0.173 Te
0.658 0.335 0.673 Te
0.007 0.579 0.713 Pd
0.007 0.921 0.213 Pd
0.233 0.734 0.037 Pd
0.233 0.766 0.537 Pd
0.365 0.169 0.401 Pd
0.365 0.331 0.901 Pd
0.635 0.669 0.099 Pd
0.635 0.831 0.599 Pd
0.767 0.234 0.463 Pd
0.767 0.266 0.963 Pd
0.993 0.079 0.787 Pd
0.993 0.421 0.287 Pd
```

Summary:
The raw formation energy is -0.249 eV per atom. The relative energy among the computed polymorphs is 0.000 eV per atom. As for the space-group type: No. 14. Its uncorrected energy is -4.47 eV/atom. The calculation puts the magnetization at 0.00 μB/cell.

---

No. 15
Material: TlTe4Pd2
Method: DFT, PBE-GGA
State: optimized geometry

```
TlTe4Pd2
1.0
5.937 -5.939 0.000
5.937 5.939 0.000
-5.936 0.000 6.009
Tl Te Pd
2 8 4
Direct
0.125 0.875 0.750 Tl
0.875 0.125 0.250 Tl
0.268 0.729 0.458 Te
0.271 0.310 0.043 Te
0.271 0.732 0.042 Te
0.310 0.271 0.543 Te
0.690 0.729 0.457 Te
0.729 0.268 0.958 Te
0.729 0.690 0.957 Te
0.732 0.271 0.542 Te
0.000 0.500 0.000 Pd
0.500 0.000 0.500 Pd
0.500 0.500 0.000 Pd
0.500 0.500 0.500 Pd
```

Summary:
The raw formation energy is -0.230 eV per atom. The relative energy among the computed polymorphs is 0.073 eV per atom. As for the space-group type: No. 15. Its uncorrected energy is -3.85 eV/atom. The calculation puts the magnetization at 0.00 μB/cell.

---

No. 16
Material: Tl2Te6Pd3
Method: DFT, PBE-GGA
State: optimized geometry

```
Tl2Te6Pd3
1.0
3.552 -6.156 0.000
3.552 6.156 0.000
-2.343 0.000 7.448
Tl Te Pd
2 6 3
Direct
0.168 0.832 0.000 Tl
0.832 0.168 0.000 Tl
0.060 0.395 0.689 Te
0.272 0.272 0.318 Te
0.395 0.060 0.689 Te
0.605 0.940 0.311 Te
0.728 0.728 0.682 Te
0.940 0.605 0.311 Te
0.000 0.000 0.500 Pd
0.331 0.669 0.500 Pd
0.669 0.331 0.500 Pd
```

Summary:
The raw formation energy is -0.263 eV per atom. As for the space-group type: No. 12. Its uncorrected energy is -3.82 eV/atom. The calculation puts the magnetization at 0.00 μB/cell.

---

No. 17
Material: TlTe3Pd3
Method: DFT, PBE-GGA
State: optimized geometry

```
TlTe3Pd3
1.0
7.438 0.000 0.000
0.000 7.438 0.000
0.000 0.000 7.438
Tl Te Pd
2 6 6
Direct
0.000 0.000 0.000 Tl
0.500 0.500 0.500 Tl
0.000 0.250 0.500 Te
0.000 0.750 0.500 Te
0.250 0.500 0.000 Te
0.500 0.000 0.250 Te
0.500 0.000 0.750 Te
0.750 0.500 0.000 Te
0.000 0.500 0.250 Pd
0.000 0.500 0.750 Pd
0.250 0.000 0.500 Pd
0.500 0.250 0.000 Pd
0.500 0.750 0.000 Pd
0.750 0.000 0.500 Pd
```

Summary:
The raw formation energy is -0.197 eV per atom. The relative energy among the computed polymorphs is 0.000 eV per atom. As for the space-group type: No. 223. Its uncorrected energy is -4.11 eV/atom. The calculation puts the magnetization at 0.00 μB/cell.

---

No. 18
Material: TlTe3Pd2
Method: DFT, PBE-GGA
State: optimized geometry

```
TlTe3Pd2
1.0
3.993 2.305 6.312
-3.993 2.305 6.312
0.000 -4.611 6.312
Tl Te Pd
2 6 4
Direct
0.228 0.228 0.228 Tl
0.772 0.772 0.772 Tl
0.241 0.241 0.733 Te
0.241 0.733 0.241 Te
0.267 0.759 0.759 Te
0.733 0.241 0.241 Te
0.759 0.267 0.759 Te
0.759 0.759 0.267 Te
0.000 0.000 0.000 Pd
0.000 0.500 0.500 Pd
0.500 0.000 0.500 Pd
0.500 0.500 0.000 Pd
```

Summary:
The raw formation energy is -0.356 eV per atom. As for the space-group type: No. 166. Its uncorrected energy is -4.05 eV/atom. The calculation puts the magnetization at 0.00 μB/cell.